A plane-wave DFT calculation with PBE was carried out for a relaxed CrMo6W crystal.

abc: 9.0714 9.0714 5.3162
angles: 90.00 90.00 120.00
Space group R-3m (No. 166, hexagonal axes)
Symmetry-distinct sites (fractional):
Cr: 0.0000 0.0000 0.0000
Mo: 0.0069 0.5035 0.7533
W: 0.0000 0.0000 0.5000

Properties
energy of formation from the pure elements	0.29	eV/atom
calculated volume	378.9	Å³/cell
spin magnetization	0.0	μB per cell
energy above the most stable polymorph in this dataset	200	meV per atom

***

A plane-wave DFT calculation with PBE was carried out for a relaxed CrMo2W crystal.

abc: 6.993 6.993 5.224
angles: 90.00 90.00 90.00
Space group I-42d (No. 122)
Symmetry-distinct sites (fractional):
Cr: 0.000 0.000 0.000
Mo: 0.229 0.250 0.125
W: 0.000 0.000 0.500

Properties
energy of formation from the pure elements	0.87	eV/atom
calculated volume	255.5	Å³/cell
spin magnetization	0.0	μB per cell
energy above the most stable polymorph in this dataset	831	meV per atom

***

A plane-wave DFT calculation with PBE was carried out for a relaxed Cr2MoW2 crystal.

abc: 2.952 16.954 2.966
angles: 90.00 90.00 90.00
Space group Cmmm (No. 65)
Symmetry-distinct sites (fractional):
Cr: 0.000 0.090 0.000
Mo: 0.000 0.500 0.500
W: 0.000 0.318 0.500

Properties
energy of formation from the pure elements	0.41	eV/atom
calculated volume	148.4	Å³/cell
spin magnetization	0.0	μB per cell
energy above the most stable polymorph in this dataset	0	meV per atom

***

A plane-wave DFT calculation with PBE was carried out for a relaxed CrMo6W5 crystal.

abc: 4.461 6.328 13.343
angles: 90.00 90.00 90.00
Space group Immm (No. 71)
Symmetry-distinct sites (fractional):
Cr: 0.000 0.000 0.000
Mo: 0.000 0.248 0.165
Mo: 0.000 0.254 0.500
W: 0.000 0.000 0.333
W: 0.000 0.500 0.000
W: 0.000 0.500 0.335

Properties
energy of formation from the pure elements	0.01	eV/atom
calculated volume	376.7	Å³/cell
spin magnetization	0.0	μB per cell

***

A plane-wave DFT calculation with PBE was carried out for a relaxed CrMo2W crystal.

abc: 3.109 4.392 8.765
angles: 90.00 90.00 90.00
Space group Immm (No. 71)
Symmetry-distinct sites (fractional):
Cr: 0.000 0.000 0.000
Mo: 0.000 0.500 0.253
W: 0.000 0.000 0.500

Properties
energy of formation from the pure elements	0.05	eV/atom
calculated volume	119.7	Å³/cell
spin magnetization	0.0	μB per cell
energy above the most stable polymorph in this dataset	9	meV per atom

***

A plane-wave DFT calculation with PBE was carried out for a relaxed CrMoW2 crystal.

abc: 3.106 4.439 8.747
angles: 90.00 90.00 90.00
Space group Immm (No. 71)
Symmetry-distinct sites (fractional):
Cr: 0.000 0.000 0.000
Mo: 0.000 0.000 0.500
W: 0.000 0.500 0.253

Properties
energy of formation from the pure elements	0.06	eV/atom
calculated volume	120.6	Å³/cell
spin magnetization	0.0	μB per cell
energy above the most stable polymorph in this dataset	30	meV per atom

***

A plane-wave DFT calculation with PBE was carried out for a relaxed CrMoW2 crystal.

abc: 6.215 6.215 6.215
angles: 90.00 90.00 90.00
Space group Fm-3m (No. 225)
Symmetry-distinct sites (fractional):
Cr: 0.000 0.000 0.000
Mo: 0.000 0.000 0.500
W: 0.250 0.250 0.250

Properties
energy of formation from the pure elements	0.03	eV/atom
calculated volume	240.0	Å³/cell
spin magnetization	0.0	μB per cell
energy above the most stable polymorph in this dataset	2	meV per atom

***

A plane-wave DFT calculation with PBE was carried out for a relaxed CrMo2W crystal.

abc: 2.706 4.362 5.160
angles: 90.00 99.73 90.00
Space group Pm (No. 6)
Symmetry-distinct sites (fractional):
Cr: 0.000 0.000 0.000
Mo: 0.505 0.000 0.501
Mo: 0.752 0.500 0.247
W: 0.251 0.500 0.757

Properties
energy of formation from the pure elements	0.06	eV/atom
calculated volume	60.0	Å³/cell
spin magnetization	0.0	μB per cell
energy above the most stable polymorph in this dataset	17	meV per atom

***

A plane-wave DFT calculation with PBE was carried out for a relaxed CrMoW2 crystal.

abc: 5.411 8.757 2.714
angles: 90.00 109.85 90.00
Space group C2/m (No. 12)
Symmetry-distinct sites (fractional):
Cr: 0.000 0.000 0.000
Mo: 0.000 0.500 0.000
W: 0.250 0.250 0.500

Properties
energy of formation from the pure elements	0.07	eV/atom
calculated volume	121.0	Å³/cell
spin magnetization	0.0	μB per cell
energy above the most stable polymorph in this dataset	37	meV per atom

***

A plane-wave DFT calculation with PBE was carried out for a relaxed CrMoW crystal.

abc: 2.692 4.353 7.524
angles: 90.00 90.02 90.00
Space group Pm (No. 6)
Symmetry-distinct sites (fractional):
Cr: 0.000 0.000 0.000
Cr: 0.335 0.500 0.160
Mo: 0.334 0.000 0.670
Mo: 0.666 0.500 0.845
W: 0.007 0.500 0.493
W: 0.666 0.000 0.316

Properties
energy of formation from the pure elements	0.07	eV/atom
calculated volume	88.2	Å³/cell
spin magnetization	0.0	μB per cell
energy above the most stable polymorph in this dataset	23	meV per atom

***

A plane-wave DFT calculation with PBE was carried out for a relaxed CrMoW2 crystal.

abc: 3.112 3.112 6.215
angles: 90.00 90.00 90.00
Space group P4mm (No. 99)
Symmetry-distinct sites (fractional):
Cr: 0.000 0.000 0.000
Mo: 0.500 0.500 0.241
W: 0.000 0.000 0.499
W: 0.500 0.500 0.761

Properties
energy of formation from the pure elements	0.05	eV/atom
calculated volume	60.2	Å³/cell
spin magnetization	0.0	μB per cell
energy above the most stable polymorph in this dataset	14	meV per atom

***

A plane-wave DFT calculation with PBE was carried out for a relaxed CrMo4W5 crystal.

abc: 3.152 3.152 15.737
angles: 90.00 90.00 90.00
Space group P4/mmm (No. 123)
Symmetry-distinct sites (fractional):
Cr: 0.000 0.000 0.000
Mo: 0.000 0.000 0.196
Mo: 0.000 0.000 0.398
W: 0.500 0.500 0.095
W: 0.500 0.500 0.297
W: 0.500 0.500 0.500

Properties
energy of formation from the pure elements	0.01	eV/atom
calculated volume	156.4	Å³/cell
spin magnetization	0.0	μB per cell